Entry 1:
Mg2MnAl3S8 | PBEsol | relaxed

Cell lengths 7.1744, 7.1744, 7.1829 Å; angles 60.04, 60.04, 60.00 degrees
Last column: magnetic moment on the atom in μB.
Atoms (fractional coordinates):
Mg: 0.1246 0.1246 0.6261  0.01
Mg: 0.8754 0.8754 0.3739  0.01
Mn: 0.5000 0.5000 0.5000  3.65
Al: 0.5000 0.5000 0.0000  0.01
Al: 0.5000 0.0000 0.0000  0.01
Al: 0.0000 0.5000 0.0000  0.01
S: 0.2613 0.2613 0.7642  -0.01
S: 0.7387 0.2868 0.2358  -0.01
S: 0.7382 0.7382 0.7853  0.01
S: 0.2868 0.7387 0.2358  -0.01
S: 0.2618 0.2618 0.2147  0.01
S: 0.7132 0.2613 0.7642  -0.01
S: 0.7387 0.7387 0.2358  -0.01
S: 0.2613 0.7132 0.7642  -0.01

Summary:
Calculated total energy = -75.82 eV per formula unit
Volume = 261.58 Å³ per cell

=====

Entry 2:
LaMnN3 | PBEsol | relaxed

Cell lengths 3.9980, 5.2250, 6.3578 Å; angles 90.00, 108.33, 90.00 degrees
Atoms (fractional coordinates):
La: 0.3705 0.2500 0.7410
La: 0.6295 0.7500 0.2590
Mn: 0.9058 0.7500 0.8116
Mn: 0.0942 0.2500 0.1884
N: 0.4667 0.7500 0.6134
N: 0.1467 0.7500 0.6134
N: 0.0000 0.0000 0.0000
N: 0.5333 0.2500 0.3866
N: 0.8533 0.2500 0.3866
N: 0.0000 0.5000 0.0000

Summary:
Calculated total energy = -44.93 eV per formula unit
Volume = 126.08 Å³ per cell

=====

Entry 3:
Sr5B3O9F | PBEsol | relaxed

Cell lengths 7.2075, 9.7814, 14.0021 Å; angles 90.00, 90.00, 90.00 degrees
Atoms (fractional coordinates):
Sr: 0.7113 0.5194 0.7500
Sr: 0.7471 0.3739 0.1197
Sr: 0.5286 0.7534 0.3876
Sr: 0.7529 0.8739 0.6197
Sr: 0.0286 0.7466 0.3876
Sr: 0.9714 0.2534 0.8876
Sr: 0.2529 0.6261 0.8803
Sr: 0.4714 0.2466 0.6124
Sr: 0.2471 0.1261 0.3803
Sr: 0.7529 0.8739 0.8803
Sr: 0.2471 0.1261 0.1197
Sr: 0.2113 0.9806 0.7500
Sr: 0.9714 0.2534 0.6124
Sr: 0.7887 0.0194 0.2500
Sr: 0.2529 0.6261 0.6197
Sr: 0.4714 0.2466 0.8876
Sr: 0.0286 0.7466 0.1124
Sr: 0.5286 0.7534 0.1124
Sr: 0.7471 0.3739 0.3803
Sr: 0.2887 0.4806 0.2500
B: 0.8012 0.0616 0.4616
B: 0.7821 0.6109 0.2500
B: 0.2821 0.8891 0.2500
B: 0.6988 0.5616 0.9616
B: 0.1988 0.9384 0.5384
B: 0.8012 0.0616 0.0384
B: 0.3012 0.4384 0.0384
B: 0.3012 0.4384 0.4616
B: 0.6988 0.5616 0.5384
B: 0.2179 0.3891 0.7500
B: 0.1988 0.9384 0.9616
B: 0.7179 0.1109 0.7500
O: 0.7845 0.7532 0.2500
O: 0.7774 0.9275 0.0695
O: 0.2226 0.0725 0.9305
O: 0.2774 0.5725 0.4305
O: 0.4088 0.3471 0.4099
O: 0.0912 0.8471 0.9099
O: 0.4447 0.9632 0.2500
O: 0.2193 0.3959 0.9538
O: 0.7226 0.4275 0.5695
O: 0.7807 0.6041 0.4538
O: 0.1133 0.9555 0.2500
O: 0.2845 0.7468 0.2500
O: 0.7193 0.1041 0.5462
O: 0.5912 0.6529 0.5901
O: 0.2193 0.3959 0.5462
O: 0.5553 0.0368 0.7500
O: 0.7193 0.1041 0.9538
O: 0.2155 0.2468 0.7500
O: 0.9447 0.5368 0.2500
O: 0.9088 0.1529 0.0901
O: 0.5912 0.6529 0.9099
O: 0.6133 0.5445 0.2500
O: 0.2807 0.8959 0.4538
O: 0.3867 0.4555 0.7500
O: 0.7226 0.4275 0.9305
O: 0.8867 0.0445 0.7500
O: 0.4088 0.3471 0.0901
O: 0.7807 0.6041 0.0462
O: 0.7155 0.2532 0.7500
O: 0.2807 0.8959 0.0462
O: 0.2226 0.0725 0.5695
O: 0.2774 0.5725 0.0695
O: 0.7774 0.9275 0.4305
O: 0.0912 0.8471 0.5901
O: 0.0553 0.4632 0.7500
O: 0.9088 0.1529 0.4099
F: 0.6362 0.2359 0.2500
F: 0.1362 0.2641 0.2500
F: 0.3638 0.7641 0.7500
F: 0.8638 0.7359 0.7500

Summary:
Calculated total energy = -133.03 eV per formula unit
Volume = 987.14 Å³ per cell